No. 1
This record from the Alexandria database describes an optimized crystal structure of InCo3Sn5. The functional is PBE.

Output
As for the space group: C2/m (12). The formation energy from the elements comes out at -0.018 eV/atom. As for the total energy: -88.47 eV for the cell shown.

Cell: 7.095 7.095 9.488 Å, 65.50 65.50 76.27°
Atoms (fractional coordinates):
Co  0.000  0.000  0.000
Co  0.000  0.000  0.500
Co  0.670  0.670  0.833
Co  0.657  0.657  0.337
Co  0.330  0.330  0.167
Co  0.343  0.343  0.663
Sn  0.946  0.377  0.334
Sn  0.623  0.054  0.666
Sn  0.237  0.237  0.976
Sn  0.763  0.763  0.024
Sn  0.054  0.623  0.666
Sn  0.423  0.423  0.358
Sn  0.715  0.285  0.000
Sn  0.285  0.715  0.000
Sn  0.377  0.946  0.334
Sn  0.577  0.577  0.642
In  0.901  0.901  0.313
In  0.099  0.099  0.687

***

No. 2
This record from the Alexandria database describes an optimized crystal structure of SrIn2CoSn. The functional is PBE.

Output
As for the space group: P4/mmm (123). The formation energy from the elements comes out at -0.190 eV/atom. As for the total energy: -19.22 eV for the cell shown.

Cell: 5.025 5.025 5.000 Å, 90.00 90.00 90.00°
Atoms (fractional coordinates):
Co  0.000  0.000  0.000
In  0.500  0.000  0.000
In  0.000  0.500  0.000
Sn  0.000  0.000  0.500
Sr  0.500  0.500  0.500

***

No. 3
This record from the Alexandria database describes an optimized crystal structure of InCoSn2Te. The functional is PBE.

Output
As for the space group: P4/mmm (123). The formation energy without anion corrections comes out at -0.108 eV/atom. As for the total energy: -21.53 eV for the cell shown.

Cell: 4.971 4.971 5.069 Å, 90.00 90.00 90.00°
Atoms (fractional coordinates):
Co  0.000  0.000  0.000
In  0.000  0.000  0.500
Te  0.500  0.500  0.500
Sn  0.500  0.000  0.000
Sn  0.000  0.500  0.000

***

No. 4
This record from the Alexandria database describes an optimized crystal structure of InCoSn2W. The functional is PBE.

Output
As for the space group: P4/mmm (123). The formation energy from the elements comes out at 2.103 eV/atom. As for the total energy: -20.29 eV for the cell shown.

Cell: 5.451 5.238 5.451 Å, 90.00 90.00 90.00°
Atoms (fractional coordinates):
Sn  0.000  0.000  0.500
Sn  0.500  0.000  0.000
W  0.000  0.500  0.000
In  0.000  0.000  0.000
Co  0.500  0.500  0.500

***

No. 5
This record from the Alexandria database describes an optimized crystal structure of ZnInCoSn2. The functional is PBE.

Output
As for the space group: P4/mmm (123). The formation energy from the elements comes out at 0.138 eV/atom. As for the total energy: -18.43 eV for the cell shown.

Cell: 4.900 4.900 4.979 Å, 90.00 90.00 90.00°
Atoms (fractional coordinates):
Zn  0.500  0.500  0.500
Sn  0.000  0.500  0.000
Sn  0.500  0.000  0.000
In  0.000  0.000  0.500
Co  0.000  0.000  0.000

***

No. 6
This record from the Alexandria database describes an optimized crystal structure of ZnInCoSn2. The functional is PBE.

Output
As for the space group: P4/mmm (123). The formation energy from the elements comes out at 0.097 eV/atom. As for the total energy: -18.64 eV for the cell shown.

Cell: 4.910 4.910 4.789 Å, 90.00 90.00 90.00°
Atoms (fractional coordinates):
Sn  0.500  0.000  0.000
Sn  0.000  0.500  0.000
In  0.500  0.500  0.500
Co  0.000  0.000  0.000
Zn  0.000  0.000  0.500

***

No. 7
This record from the Alexandria database describes an optimized crystal structure of SrIn2Co. The functional is PBE.

Output
As for the space group: P2/m (10). The formation energy from the elements comes out at 0.088 eV/atom. As for the total energy: -13.91 eV for the cell shown.

Cell: 4.402 3.963 6.203 Å, 72.97 90.00 90.00°
Atoms (fractional coordinates):
In  0.000  0.903  0.945
In  0.000  0.597  0.555
Co  0.500  0.750  0.750
Sr  0.500  0.250  0.250

***

No. 8
This record from the Alexandria database describes an optimized crystal structure of SrInCo2. The functional is PBE.

Output
As for the space group: C2/m (12). The formation energy from the elements comes out at 0.520 eV/atom. As for the total energy: -16.55 eV for the cell shown.

Cell: 7.465 4.724 3.342 Å, 89.92 63.51 129.22°
Atoms (fractional coordinates):
Co  0.000  0.000  0.000
Co  0.500  0.000  0.500
Sr  0.500  0.500  0.000
In  0.000  0.500  0.500

***

No. 9
This record from the Alexandria database describes an optimized crystal structure of Sr2InCo. The functional is PBE.

Output
As for the space group: Pmm2 (25). The formation energy from the elements comes out at 0.126 eV/atom. As for the total energy: -12.70 eV for the cell shown.

Cell: 3.655 3.677 9.010 Å, 90.00 90.00 90.00°
Atoms (fractional coordinates):
Co  0.000  0.000  0.570
Sr  0.500  0.500  0.325
Sr  0.000  0.000  0.929
In  0.500  0.500  0.676

***

No. 10
This record from the Alexandria database describes an optimized crystal structure of SrInCo2. The functional is PBE.

Output
As for the space group: I-4m2 (119). The formation energy from the elements comes out at 0.590 eV/atom. As for the total energy: -16.27 eV for the cell shown.

Cell: 5.346 5.346 5.346 Å, 133.39 133.39 68.04°
Atoms (fractional coordinates):
Sr  0.750  0.250  0.500
In  0.500  0.500  0.000
Co  0.000  0.000  0.000
Co  0.250  0.750  0.500

***

No. 11
This record from the Alexandria database describes an optimized crystal structure of SrIn2Co. The functional is PBE.

Output
As for the space group: R3m (160). The formation energy from the elements comes out at -0.074 eV/atom. As for the total energy: -14.56 eV for the cell shown.

Cell: 4.539 4.539 6.386 Å, 69.16 69.16 59.98°
Atoms (fractional coordinates):
Sr  0.505  0.505  0.487
In  0.963  0.963  0.112
In  0.709  0.709  0.874
Co  0.324  0.324  0.028

***

No. 12
This record from the Alexandria database describes an optimized crystal structure of SrInCo2. The functional is PBE.

Output
As for the space group: R-3m (166). The formation energy from the elements comes out at 0.743 eV/atom. As for the total energy: -15.66 eV for the cell shown.

Cell: 8.305 8.305 8.305 Å, 23.90 23.90 23.90°
Atoms (fractional coordinates):
In  0.250  0.250  0.250
Co  0.512  0.512  0.512
Co  0.988  0.988  0.988
Sr  0.750  0.750  0.750

***

no.,size of the total moment (Bohr magnetons per cell)
1,0.73
2,0.00
3,0.00
4,5.48
5,0.00
6,0.00
7,1.22
8,1.63
9,1.15
10,2.59
11,0.00
12,1.65